A plane-wave DFT calculation with PBE+U was carried out for Fe3O4F2 after structural relaxation. Values from VASP.

```
&SYSTEM
  ibrav = 0, nat = 18, ntyp = 3
/
ATOMIC_SPECIES
O 16.00 O.upf
Fe 55.84 Fe.upf
F 19.00 F.upf
CELL_PARAMETERS angstrom
-1.937 -4.061 1.293
2.892 -2.851 -3.843
5.909 -1.512 4.671
ATOMIC_POSITIONS crystal
O 0.689 0.863 0.446
O 0.299 0.795 0.890
O 0.819 0.362 0.443
O 0.305 0.126 0.570
O 0.802 0.712 0.096
O 0.696 0.208 0.106
O 0.701 0.546 0.758
O 0.190 0.293 0.896
Fe 0.534 0.168 0.345
Fe 0.512 0.497 0.987
Fe 0.011 0.336 0.669
Fe 0.492 0.834 0.668
Fe 0.003 0.004 0.003
Fe 0.949 0.656 0.325
F 0.305 0.470 0.236
F 0.196 0.960 0.239
F 0.796 0.042 0.770
F 0.201 0.630 0.554
```

Summary:
The final energy is -6.056 eV/atom. As for the symmetry: No. 1. The value obtained for the size of the total moment is 27.97 μB/cell. The volume comes out at 11.1 Å³/atom. Its energy above the most stable polymorph in this dataset is 41.4 meV/atom.